First-principles (GGA-PBEsol) data for a relaxed structure of NiH2Se, as listed in Alexandria.

Output
Energy: -13.87 eV per formula unit

```
data_NiH2Se
_space_group_name_H-M_alt 'F m -3 m'
_space_group_IT_number 225
_space_group_name_Hall '-F 4 2 3'
_cell_length_a 5.168
_cell_length_b 5.168
_cell_length_c 5.168
_cell_angle_alpha 90.00
_cell_angle_beta 90.00
_cell_angle_gamma 90.00
loop_
_atom_site_label
_atom_site_type_symbol
_atom_site_fract_x
_atom_site_fract_y
_atom_site_fract_z
Ni1 Ni 0.000 0.000 0.000
H1 H 0.250 0.250 0.250
Se1 Se 0.000 0.000 0.500
```